(1)
{"formula": "SmYAl2", "functional": "PBE", "state": "optimized geometry", "lattice_angstrom": [[3.641, 0.000, 0.000], [0.000, 3.641, 0.000], [0.000, 0.000, 7.283]], "species": ["Sm", "Y", "Al", "Al"], "frac_coords": [[0.000, 0.000, 0.000], [0.000, 0.000, 0.500], [0.500, 0.500, 0.259], [0.500, 0.500, 0.741]], "spacegroup": "P4/mmm", "formation_enthalpy_0k_mev_per_atom": -398, "dos_at_fermi_per_ev_atom": 0.358}

(2)
{"formula": "SmY2Al", "functional": "PBE", "state": "optimized geometry", "lattice_angstrom": [[3.609, 0.000, 0.000], [-1.805, 3.126, 0.000], [0.000, 0.000, 31.446]], "species": ["Sm", "Sm", "Sm", "Y", "Y", "Y", "Y", "Y", "Y", "Al", "Al", "Al"], "frac_coords": [[0.000, 0.000, 0.000], [0.333, 0.667, 0.667], [0.667, 0.333, 0.333], [0.000, 0.000, 0.239], [0.000, 0.000, 0.429], [0.333, 0.667, 0.095], [0.333, 0.667, 0.905], [0.667, 0.333, 0.572], [0.667, 0.333, 0.762], [0.000, 0.000, 0.834], [0.333, 0.667, 0.501], [0.667, 0.333, 0.167]], "spacegroup": "R3m", "formation_enthalpy_0k_mev_per_atom": -81, "dos_at_fermi_per_ev_atom": 1.250}

(3)
{"formula": "Sm4YAl2", "functional": "PBE", "state": "optimized geometry", "lattice_angstrom": [[2.668, 1.540, 8.036], [-2.668, 1.540, 8.036], [0.000, -3.081, 8.036]], "species": ["Sm", "Sm", "Sm", "Sm", "Y", "Al", "Al"], "frac_coords": [[0.086, 0.086, 0.086], [0.347, 0.347, 0.347], [0.653, 0.653, 0.653], [0.914, 0.914, 0.914], [0.500, 0.500, 0.500], [0.219, 0.219, 0.219], [0.781, 0.781, 0.781]], "spacegroup": "R-3m", "formation_enthalpy_0k_mev_per_atom": -189, "dos_at_fermi_per_ev_atom": 0.700}

(4)
{"formula": "Sm4Y9Al11", "functional": "PBE", "state": "optimized geometry", "lattice_angstrom": [[7.759, -11.244, 0.000], [7.759, 11.244, 0.000], [0.000, 0.000, 3.382]], "species": ["Sm", "Sm", "Sm", "Sm", "Y", "Y", "Y", "Y", "Y", "Y", "Y", "Y", "Y", "Al", "Al", "Al", "Al", "Al", "Al", "Al", "Al", "Al", "Al", "Al"], "frac_coords": [[0.096, 0.261, 0.000], [0.261, 0.096, 0.000], [0.739, 0.904, 0.000], [0.904, 0.739, 0.000], [0.000, 0.000, 0.000], [0.112, 0.664, 0.000], [0.296, 0.491, 0.000], [0.336, 0.888, 0.000], [0.491, 0.296, 0.000], [0.509, 0.704, 0.000], [0.664, 0.112, 0.000], [0.704, 0.509, 0.000], [0.888, 0.336, 0.000], [0.087, 0.462, 0.500], [0.121, 0.879, 0.500], [0.306, 0.306, 0.500], [0.311, 0.689, 0.500], [0.462, 0.087, 0.500], [0.500, 0.500, 0.500], [0.538, 0.913, 0.500], [0.689, 0.311, 0.500], [0.694, 0.694, 0.500], [0.879, 0.121, 0.500], [0.913, 0.538, 0.500]], "spacegroup": "Cmmm", "formation_enthalpy_0k_mev_per_atom": -334, "dos_at_fermi_per_ev_atom": 0.672}

(5)
{"formula": "SmY3Al2", "functional": "PBE", "state": "optimized geometry", "lattice_angstrom": [[5.133, 0.000, 0.000], [0.000, 9.581, 0.000], [0.000, 0.000, 6.596]], "species": ["Sm", "Sm", "Y", "Y", "Y", "Y", "Y", "Y", "Al", "Al", "Al", "Al"], "frac_coords": [[0.000, 0.043, 0.000], [0.000, 0.957, 0.500], [0.000, 0.324, 0.651], [0.000, 0.676, 0.151], [0.500, 0.180, 0.285], [0.500, 0.455, 0.939], [0.500, 0.545, 0.439], [0.500, 0.820, 0.785], [0.000, 0.356, 0.176], [0.000, 0.644, 0.676], [0.500, 0.147, 0.759], [0.500, 0.853, 0.259]], "spacegroup": "Pmc2_1", "formation_enthalpy_0k_mev_per_atom": -301, "dos_at_fermi_per_ev_atom": 0.877}

(6)
{"formula": "Sm2YAl", "functional": "PBE", "state": "optimized geometry", "lattice_angstrom": [[5.331, 0.000, 0.000], [0.000, 6.973, 0.000], [0.000, 0.000, 12.072]], "species": ["Sm", "Sm", "Sm", "Sm", "Sm", "Sm", "Sm", "Sm", "Y", "Y", "Y", "Y", "Al", "Al", "Al", "Al"], "frac_coords": [[0.000, 0.000, 0.000], [0.000, 0.235, 0.767], [0.000, 0.265, 0.267], [0.000, 0.500, 0.500], [0.000, 0.735, 0.267], [0.000, 0.765, 0.767], [0.500, 0.000, 0.354], [0.500, 0.500, 0.854], [0.500, 0.236, 0.589], [0.500, 0.264, 0.089], [0.500, 0.736, 0.089], [0.500, 0.764, 0.589], [0.000, 0.000, 0.513], [0.000, 0.500, 0.013], [0.500, 0.000, 0.844], [0.500, 0.500, 0.344]], "spacegroup": "Amm2", "formation_enthalpy_0k_mev_per_atom": -189, "dos_at_fermi_per_ev_atom": 1.000}

(7)
{"formula": "Sm2Y2Al15", "functional": "PBE", "state": "optimized geometry", "lattice_angstrom": [[4.826, 2.786, 4.665], [-4.826, 2.786, 4.665], [0.000, -5.573, 4.665]], "species": ["Sm", "Sm", "Y", "Y", "Al", "Al", "Al", "Al", "Al", "Al", "Al", "Al", "Al", "Al", "Al", "Al", "Al", "Al", "Al"], "frac_coords": [[0.138, 0.138, 0.138], [0.862, 0.862, 0.862], [0.392, 0.392, 0.392], [0.608, 0.608, 0.608], [0.000, 0.500, 0.500], [0.144, 0.144, 0.654], [0.144, 0.654, 0.144], [0.208, 0.500, 0.792], [0.208, 0.792, 0.500], [0.346, 0.856, 0.856], [0.500, 0.000, 0.500], [0.500, 0.208, 0.792], [0.500, 0.500, 0.000], [0.500, 0.792, 0.208], [0.654, 0.144, 0.144], [0.792, 0.208, 0.500], [0.792, 0.500, 0.208], [0.856, 0.346, 0.856], [0.856, 0.856, 0.346]], "spacegroup": "R-3m", "formation_enthalpy_0k_mev_per_atom": -252, "dos_at_fermi_per_ev_atom": 0.446}

(8)
{"formula": "Sm5YAl6", "functional": "PBE", "state": "optimized geometry", "lattice_angstrom": [[5.177, 0.000, 0.000], [0.000, 7.360, 0.000], [-2.581, 0.000, 7.772]], "species": ["Sm", "Sm", "Sm", "Sm", "Sm", "Y", "Al", "Al", "Al", "Al", "Al", "Al"], "frac_coords": [[0.000, 0.000, 0.000], [0.332, 0.000, 0.663], [0.334, 0.500, 0.668], [0.666, 0.500, 0.332], [0.668, 0.000, 0.337], [0.000, 0.500, 0.000], [0.165, 0.253, 0.330], [0.165, 0.747, 0.330], [0.500, 0.252, 0.000], [0.500, 0.748, 0.000], [0.835, 0.253, 0.670], [0.835, 0.747, 0.670]], "spacegroup": "P2/m", "formation_enthalpy_0k_mev_per_atom": -381, "dos_at_fermi_per_ev_atom": 0.394}

(9)
{"formula": "SmY2Al", "functional": "PBE", "state": "optimized geometry", "lattice_angstrom": [[3.541, 0.000, 0.000], [0.000, 3.541, 0.000], [0.000, 0.000, 9.077]], "species": ["Sm", "Y", "Y", "Al"], "frac_coords": [[0.000, 0.000, 0.000], [0.500, 0.500, 0.290], [0.500, 0.500, 0.710], [0.000, 0.000, 0.500]], "spacegroup": "P4/mmm", "formation_enthalpy_0k_mev_per_atom": -204, "dos_at_fermi_per_ev_atom": 0.887}

(10)
{"formula": "Sm3YAl2", "functional": "PBE", "state": "optimized geometry", "lattice_angstrom": [[4.917, 0.000, 0.000], [0.000, 15.158, 0.000], [0.000, 0.000, 4.420]], "species": ["Sm", "Sm", "Sm", "Sm", "Sm", "Sm", "Y", "Y", "Al", "Al", "Al", "Al"], "frac_coords": [[0.000, 0.000, 0.000], [0.000, 0.324, 0.000], [0.000, 0.676, 0.000], [0.500, 0.176, 0.000], [0.500, 0.500, 0.000], [0.500, 0.824, 0.000], [0.000, 0.500, 0.500], [0.500, 0.000, 0.500], [0.000, 0.154, 0.500], [0.000, 0.846, 0.500], [0.500, 0.346, 0.500], [0.500, 0.654, 0.500]], "spacegroup": "Cmmm", "formation_enthalpy_0k_mev_per_atom": -191, "dos_at_fermi_per_ev_atom": 1.090}

(11)
{"formula": "SmY6Al", "functional": "PBE", "state": "optimized geometry", "lattice_angstrom": [[6.939, 0.000, 0.000], [0.000, 12.106, 0.000], [-3.434, 0.000, 6.014]], "species": ["Sm", "Sm", "Y", "Y", "Y", "Y", "Y", "Y", "Y", "Y", "Y", "Y", "Y", "Y", "Al", "Al"], "frac_coords": [[0.000, 0.000, 0.000], [0.500, 0.500, 0.000], [0.026, 0.217, 0.745], [0.026, 0.783, 0.745], [0.031, 0.500, 0.264], [0.469, 0.000, 0.736], [0.474, 0.283, 0.255], [0.474, 0.717, 0.255], [0.526, 0.283, 0.745], [0.526, 0.717, 0.745], [0.531, 0.000, 0.264], [0.969, 0.500, 0.736], [0.974, 0.217, 0.255], [0.974, 0.783, 0.255], [0.000, 0.000, 0.500], [0.500, 0.500, 0.500]], "spacegroup": "C2/m", "formation_enthalpy_0k_mev_per_atom": 227, "dos_at_fermi_per_ev_atom": 1.539}

(12)
{"formula": "Sm12Y3Al", "functional": "PBE", "state": "optimized geometry", "lattice_angstrom": [[5.024, 0.000, 0.000], [0.000, 5.024, 0.000], [0.000, 0.000, 20.404]], "species": ["Sm", "Sm", "Sm", "Sm", "Sm", "Sm", "Sm", "Sm", "Sm", "Sm", "Sm", "Sm", "Y", "Y", "Y", "Al"], "frac_coords": [[0.000, 0.000, 0.000], [0.000, 0.000, 0.244], [0.000, 0.000, 0.500], [0.000, 0.000, 0.756], [0.000, 0.500, 0.117], [0.000, 0.500, 0.372], [0.000, 0.500, 0.628], [0.000, 0.500, 0.883], [0.500, 0.000, 0.117], [0.500, 0.000, 0.372], [0.500, 0.000, 0.628], [0.500, 0.000, 0.883], [0.500, 0.500, 0.246], [0.500, 0.500, 0.500], [0.500, 0.500, 0.754], [0.500, 0.500, 0.000]], "spacegroup": "P4/mmm", "formation_enthalpy_0k_mev_per_atom": -16, "dos_at_fermi_per_ev_atom": 1.425}

(13)
{"formula": "Sm2Y2Al", "functional": "PBE", "state": "optimized geometry", "lattice_angstrom": [[4.268, 0.000, 0.000], [0.000, 4.268, 0.000], [0.000, 0.000, 17.721]], "species": ["Sm", "Sm", "Sm", "Sm", "Y", "Y", "Y", "Y", "Al", "Al"], "frac_coords": [[0.000, 0.500, 0.250], [0.000, 0.500, 0.750], [0.500, 0.000, 0.250], [0.500, 0.000, 0.750], [0.000, 0.000, 0.086], [0.000, 0.000, 0.914], [0.500, 0.500, 0.414], [0.500, 0.500, 0.586], [0.000, 0.000, 0.500], [0.500, 0.500, 0.000]], "spacegroup": "I4/mmm", "formation_enthalpy_0k_mev_per_atom": 420, "dos_at_fermi_per_ev_atom": 1.356}

(14)
{"formula": "SmY5Al6", "functional": "PBE", "state": "optimized geometry", "lattice_angstrom": [[2.554, -7.669, 0.000], [2.554, 7.669, 0.000], [0.000, 0.000, 7.259]], "species": ["Sm", "Y", "Y", "Y", "Y", "Y", "Al", "Al", "Al", "Al", "Al", "Al"], "frac_coords": [[0.000, 0.000, 0.000], [0.000, 0.000, 0.500], [0.333, 0.667, 0.000], [0.335, 0.665, 0.500], [0.665, 0.335, 0.500], [0.667, 0.333, 0.000], [0.168, 0.832, 0.253], [0.168, 0.832, 0.747], [0.500, 0.500, 0.252], [0.500, 0.500, 0.748], [0.832, 0.168, 0.253], [0.832, 0.168, 0.747]], "spacegroup": "Cmmm", "formation_enthalpy_0k_mev_per_atom": -411, "dos_at_fermi_per_ev_atom": 0.396}

(15)
{"formula": "SmY3Al8", "functional": "PBE", "state": "optimized geometry", "lattice_angstrom": [[2.789, 1.610, 9.156], [-2.789, 1.610, 9.156], [0.000, -3.221, 9.156]], "species": ["Sm", "Y", "Y", "Y", "Al", "Al", "Al", "Al", "Al", "Al", "Al", "Al"], "frac_coords": [[0.000, 0.000, 0.000], [0.125, 0.125, 0.125], [0.500, 0.500, 0.500], [0.625, 0.625, 0.625], [0.062, 0.062, 0.562], [0.062, 0.562, 0.062], [0.063, 0.563, 0.563], [0.312, 0.312, 0.312], [0.562, 0.062, 0.062], [0.563, 0.063, 0.563], [0.563, 0.563, 0.063], [0.813, 0.813, 0.813]], "spacegroup": "R3m", "formation_enthalpy_0k_mev_per_atom": -526, "dos_at_fermi_per_ev_atom": 0.845}

(16)
{"formula": "Sm12YAl3", "functional": "PBE", "state": "optimized geometry", "lattice_angstrom": [[4.885, 0.000, 0.000], [0.000, 4.885, 0.000], [0.000, 0.000, 19.907]], "species": ["Sm", "Sm", "Sm", "Sm", "Sm", "Sm", "Sm", "Sm", "Sm", "Sm", "Sm", "Sm", "Y", "Al", "Al", "Al"], "frac_coords": [[0.000, 0.000, 0.000], [0.000, 0.000, 0.243], [0.000, 0.000, 0.500], [0.000, 0.000, 0.757], [0.000, 0.500, 0.122], [0.000, 0.500, 0.365], [0.000, 0.500, 0.635], [0.000, 0.500, 0.878], [0.500, 0.000, 0.122], [0.500, 0.000, 0.365], [0.500, 0.000, 0.635], [0.500, 0.000, 0.878], [0.500, 0.500, 0.500], [0.500, 0.500, 0.000], [0.500, 0.500, 0.242], [0.500, 0.500, 0.758]], "spacegroup": "P4/mmm", "formation_enthalpy_0k_mev_per_atom": -114, "dos_at_fermi_per_ev_atom": 1.416}

(17)
{"formula": "Sm3YAl4", "functional": "PBE", "state": "optimized geometry", "lattice_angstrom": [[3.658, 0.000, 0.000], [0.000, 3.658, 0.000], [0.000, 0.000, 14.664]], "species": ["Sm", "Sm", "Sm", "Y", "Al", "Al", "Al", "Al"], "frac_coords": [[0.000, 0.000, 0.000], [0.000, 0.000, 0.253], [0.000, 0.000, 0.747], [0.000, 0.000, 0.500], [0.500, 0.500, 0.126], [0.500, 0.500, 0.381], [0.500, 0.500, 0.619], [0.500, 0.500, 0.874]], "spacegroup": "P4/mmm", "formation_enthalpy_0k_mev_per_atom": -386, "dos_at_fermi_per_ev_atom": 0.393}

(18)
{"formula": "Sm2YAl", "functional": "PBE", "state": "optimized geometry", "lattice_angstrom": [[4.806, 0.000, 0.000], [0.000, 4.806, 0.000], [0.000, 0.000, 4.872]], "species": ["Sm", "Sm", "Y", "Al"], "frac_coords": [[0.000, 0.500, 0.000], [0.500, 0.000, 0.000], [0.000, 0.000, 0.500], [0.500, 0.500, 0.500]], "spacegroup": "P4/mmm", "formation_enthalpy_0k_mev_per_atom": -175, "dos_at_fermi_per_ev_atom": 1.566}

(19)
{"formula": "Sm9Y4Al11", "functional": "PBE", "state": "optimized geometry", "lattice_angstrom": [[7.864, -11.203, 0.000], [7.864, 11.203, 0.000], [0.000, 0.000, 3.440]], "species": ["Sm", "Sm", "Sm", "Sm", "Sm", "Sm", "Sm", "Sm", "Sm", "Y", "Y", "Y", "Y", "Al", "Al", "Al", "Al", "Al", "Al", "Al", "Al", "Al", "Al", "Al"], "frac_coords": [[0.000, 0.000, 0.000], [0.115, 0.659, 0.000], [0.296, 0.483, 0.000], [0.341, 0.885, 0.000], [0.483, 0.296, 0.000], [0.517, 0.704, 0.000], [0.659, 0.115, 0.000], [0.704, 0.517, 0.000], [0.885, 0.341, 0.000], [0.089, 0.257, 0.000], [0.257, 0.089, 0.000], [0.743, 0.911, 0.000], [0.911, 0.743, 0.000], [0.086, 0.455, 0.500], [0.122, 0.878, 0.500], [0.289, 0.289, 0.500], [0.316, 0.684, 0.500], [0.455, 0.086, 0.500], [0.500, 0.500, 0.500], [0.545, 0.914, 0.500], [0.684, 0.316, 0.500], [0.711, 0.711, 0.500], [0.878, 0.122, 0.500], [0.914, 0.545, 0.500]], "spacegroup": "Cmmm", "formation_enthalpy_0k_mev_per_atom": -311, "dos_at_fermi_per_ev_atom": 0.678}

(20)
{"formula": "Sm2Y8Al", "functional": "PBE", "state": "optimized geometry", "lattice_angstrom": [[6.100, -5.426, 0.000], [6.100, 5.426, 0.000], [-1.690, 0.000, 5.758]], "species": ["Sm", "Sm", "Y", "Y", "Y", "Y", "Y", "Y", "Y", "Y", "Al"], "frac_coords": [[0.132, 0.132, 0.494], [0.868, 0.868, 0.506], [0.149, 0.674, 0.188], [0.262, 0.262, 0.108], [0.326, 0.851, 0.812], [0.420, 0.420, 0.716], [0.580, 0.580, 0.284], [0.674, 0.149, 0.188], [0.738, 0.738, 0.892], [0.851, 0.326, 0.812], [0.000, 0.000, 0.000]], "spacegroup": "C2/m", "formation_enthalpy_0k_mev_per_atom": 311, "dos_at_fermi_per_ev_atom": 1.279}

(21)
{"formula": "Sm4YAl5", "functional": "PBE", "state": "optimized geometry", "lattice_angstrom": [[3.662, 0.000, 0.000], [0.000, 3.662, 0.000], [0.000, 0.000, 18.346]], "species": ["Sm", "Sm", "Sm", "Sm", "Y", "Al", "Al", "Al", "Al", "Al"], "frac_coords": [[0.000, 0.000, 0.101], [0.000, 0.000, 0.303], [0.000, 0.000, 0.697], [0.000, 0.000, 0.899], [0.000, 0.000, 0.500], [0.500, 0.500, 0.000], [0.500, 0.500, 0.202], [0.500, 0.500, 0.405], [0.500, 0.500, 0.595], [0.500, 0.500, 0.798]], "spacegroup": "P4/mmm", "formation_enthalpy_0k_mev_per_atom": -383, "dos_at_fermi_per_ev_atom": 0.341}

(22)
{"formula": "Sm2YAl", "functional": "PBE", "state": "optimized geometry", "lattice_angstrom": [[3.656, 0.000, 0.000], [-1.828, 3.166, 0.000], [0.000, 0.000, 31.733]], "species": ["Sm", "Sm", "Sm", "Sm", "Sm", "Sm", "Y", "Y", "Y", "Al", "Al", "Al"], "frac_coords": [[0.000, 0.000, 0.000], [0.000, 0.000, 0.188], [0.333, 0.667, 0.667], [0.333, 0.667, 0.855], [0.667, 0.333, 0.333], [0.667, 0.333, 0.522], [0.000, 0.000, 0.428], [0.333, 0.667, 0.094], [0.667, 0.333, 0.761], [0.000, 0.000, 0.594], [0.333, 0.667, 0.261], [0.667, 0.333, 0.927]], "spacegroup": "R3m", "formation_enthalpy_0k_mev_per_atom": -43, "dos_at_fermi_per_ev_atom": 1.091}